Density functional theory data (GGA-PBE) for a relaxed structure of SnHPdPt2.

DFT total energy	-5.1765	eV/atom
spin magnetization	0.00	μB per formula unit

a = 4.0532 Å, b = 4.0532 Å, c = 4.2429 Å
α = 90.00°, β = 90.00°, γ = 90.00°
Element x y z (fractional)
H (0.0000, 0.0000, 0.0000)
Pd (0.0000, 0.0000, 0.5000)
Sn (0.5000, 0.5000, 0.5000)
Pt (0.0000, 0.5000, 0.0000)
Pt (0.5000, 0.0000, 0.0000)

---

Density functional theory data (GGA-PBE) for a relaxed structure of RbTcPbAu2.

DFT total energy	-2.5119	eV/atom
distance to the lowest polymorph of the same formula	4.94	eV/f.u.
spin magnetization	2.46	μB per formula unit

a = 5.6449 Å, b = 5.0645 Å, c = 5.6449 Å
α = 90.00°, β = 90.00°, γ = 90.00°
Site moments in Bohr magnetons follow the coordinates.
Element x y z (fractional)
Pb (0.5000, 0.5000, 0.5000)  -0.10
Au (0.0000, 0.0000, 0.5000)  -0.01
Au (0.5000, 0.0000, 0.0000)  0.01
Tc (0.0000, 0.5000, 0.0000)  2.45
Rb (0.0000, 0.0000, 0.0000)  0.00

---

Density functional theory data (GGA-PBE) for a relaxed structure of Co2SbP.

DFT total energy	-6.1559	eV/atom
distance to the lowest polymorph of the same formula	0.00	eV/f.u.
spin magnetization	0.00	μB per formula unit
formation energy from raw total energies	-0.2199	eV/atom

a = 5.9537 Å, b = 5.9537 Å, c = 5.9537 Å
α = 34.13°, β = 34.13°, γ = 34.13°
Element x y z (fractional)
Co (0.9677, 0.9677, 0.9677)
Co (0.5323, 0.5323, 0.5323)
P (0.2500, 0.2500, 0.2500)
Sb (0.7500, 0.7500, 0.7500)

---

Density functional theory data (GGA-PBE) for a relaxed structure of PtRhW.

DFT total energy	-8.9068	eV/atom
distance to the lowest polymorph of the same formula	0.57	eV/f.u.
spin magnetization	0.00	μB per formula unit

a = 2.7908 Å, b = 2.7908 Å, c = 6.8116 Å
α = 90.00°, β = 90.00°, γ = 120.00°
Element x y z (fractional)
Pt (0.0000, 0.0000, 0.9949)
Rh (0.6667, 0.3333, 0.3436)
W (0.3333, 0.6667, 0.6614)

---

Density functional theory data (GGA-PBE) for a relaxed structure of ThCoPt.

DFT total energy	-7.2580	eV/atom
spin magnetization	1.06	μB per formula unit

a = 3.7020 Å, b = 3.7020 Å, c = 5.0706 Å
α = 111.41°, β = 111.41°, γ = 90.00°
Site moments in Bohr magnetons follow the coordinates.
Element x y z (fractional)
Co (0.2884, 0.2884, 0.5768)  1.16
Pt (0.9498, 0.9498, 0.8995)  0.03
Th (0.6118, 0.6118, 0.2237)  -0.08

---

Density functional theory data (GGA-PBE) for a relaxed structure of RbU3Pt4S12.

DFT total energy	-6.0305	eV/atom
spin magnetization	0.00	μB per formula unit
formation energy from raw total energies	-0.6043	eV/atom

a = 8.5179 Å, b = 8.5179 Å, c = 8.5179 Å
α = 104.03°, β = 104.03°, γ = 104.03°
Element x y z (fractional)
Rb (0.0000, 0.0000, 0.0000)
U (0.5721, 0.4279, 0.0000)
U (0.4279, 0.0000, 0.5721)
U (0.0000, 0.5721, 0.4279)
Pt (0.9212, 0.0788, 0.5000)
Pt (0.0788, 0.5000, 0.9212)
Pt (0.5000, 0.9212, 0.0788)
Pt (0.5000, 0.5000, 0.5000)
S (0.5000, 0.3323, 0.6677)
S (0.9104, 0.5000, 0.0896)
S (0.0896, 0.9104, 0.5000)
S (0.5000, 0.0896, 0.9104)
S (0.3719, 0.0006, 0.2715)
S (0.2715, 0.3719, 0.0006)
S (0.0006, 0.2715, 0.3719)
S (0.6281, 0.7285, 0.9994)
S (0.9994, 0.6281, 0.7285)
S (0.7285, 0.9994, 0.6281)
S (0.6677, 0.5000, 0.3323)
S (0.3323, 0.6677, 0.5000)

---

Density functional theory data (GGA-PBE) for a relaxed structure of BeTl2P.

DFT total energy	-2.7371	eV/atom
distance to the lowest polymorph of the same formula	2.41	eV/f.u.
spin magnetization	0.00	μB per formula unit

a = 3.3197 Å, b = 3.3197 Å, c = 7.7552 Å
α = 90.00°, β = 90.00°, γ = 90.00°
Element x y z (fractional)
P (0.5000, 0.5000, 0.7500)
Tl (0.0000, 0.0000, 0.0139)
Tl (0.0000, 0.0000, 0.4861)
Be (0.5000, 0.5000, 0.2500)

---

Density functional theory data (GGA-PBE) for a relaxed structure of AsXe2OF10.

DFT total energy	-2.9600	eV/atom
spin magnetization	3.18	μB per formula unit
formation energy from raw total energies	-0.9323	eV/atom

a = 8.7827 Å, b = 8.7827 Å, c = 8.7827 Å
α = 119.63°, β = 119.63°, γ = 90.64°
Site moments in Bohr magnetons follow the coordinates.
Element x y z (fractional)
As (0.0000, 0.0000, 0.0000)  0.00
As (0.5000, 0.5000, 0.0000)  0.00
Xe (0.5000, 0.5000, 0.5000)  0.08
Xe (0.0000, 0.0000, 0.5000)  0.08
Xe (0.5000, 0.0000, 0.0000)  0.08
Xe (0.0000, 0.5000, 0.0000)  0.08
O (0.5000, 0.0000, 0.5000)  1.93
O (0.0000, 0.5000, 0.5000)  1.93
F (0.1791, 0.0909, 0.2701)  0.02
F (0.8209, 0.9091, 0.7299)  0.02
F (0.0909, 0.8209, 0.9118)  0.02
F (0.6791, 0.4091, 0.0882)  0.02
F (0.9091, 0.1791, 0.0882)  0.02
F (0.3209, 0.5909, 0.9118)  0.02
F (0.5909, 0.6791, 0.2701)  0.02
F (0.4091, 0.3209, 0.7299)  0.02
F (0.1438, 0.1438, 0.0000)  0.01
F (0.8562, 0.8562, 0.0000)  0.01
F (0.3562, 0.3562, 0.0000)  0.01
F (0.6438, 0.6438, 0.0000)  0.01
F (0.7679, 0.2679, 0.7224)  0.13
F (0.2321, 0.7321, 0.2776)  0.13
F (0.5455, 0.0455, 0.2776)  0.13
F (0.2679, 0.5455, 0.5000)  0.13
F (0.9545, 0.2321, 0.5000)  0.13
F (0.4545, 0.9545, 0.7224)  0.13
F (0.7321, 0.4545, 0.5000)  0.13
F (0.0455, 0.7679, 0.5000)  0.13

---

> Look up the spin magnetization of the first one.

0.00 μB per formula unit